This record from Alexandria via LeMat-Bulk describes crystalline PrGaBi at its relaxed geometry. The functional is PBE.

```
PrGaBi
1.0
-1.9367 1.9367 5.5130
1.9367 -1.9367 5.5130
1.9367 1.9367 -5.5130
Pr Ga Bi
1 1 1
direct
0.0000 0.0000 0.0000 Pr
0.3209 0.3209 0.0000 Ga
0.6956 0.6956 0.0000 Bi
```

Calculated values
N(E_F): 3.197 states/eV/f.u.
spin magnetization: 0.0 μB/f.u.
energy above the lowest structure with this stoichiometry: 72 meV/atom
DFT formation energy: -9.05 kcal/mol of atoms
space-group type: I4mm